VASP calculation (GGA-PBE) on a relaxed structure of PmSm12Tm7.

## Properties
Symmetry ... R-3m, No. 166
DFT formation energy ... 103 meV per atom
Excess energy over the best structure of this formula in the dataset ... 0.0 kJ per mole of atoms
E_tot ... -4.531 eV per atom
Magnetic moment ... 2.93 μB per cell

Lattice parameters (Å, degrees): 8.7890 8.7890 8.7890 98.16 98.16 98.16
Closest atoms and distances in Å follow each position.
Positions (direct):
Sm (0.5000, 0.7628, 0.2372)  6 Sm 3.40-3.58, 5 Tm 3.49-3.54
Sm (0.2372, 0.7628, 0.5000)  6 Sm 3.40-3.58, 5 Tm 3.49-3.54
Sm (0.3588, 0.3586, 0.0912)  6 Sm 3.40-3.58, 3 Tm 3.61-3.74
Tm (0.9007, 0.3392, 0.9007)  3 Tm 3.23-3.57, 1 Pm 3.42, 4 Sm 3.50-3.54
Pm (0.0000, 0.0000, 0.0000)  6 Tm 3.42
Sm (0.3586, 0.0912, 0.3588)  6 Sm 3.40-3.58, 3 Tm 3.61-3.74
Sm (0.6412, 0.6414, 0.9088)  6 Sm 3.40-3.58, 3 Tm 3.61-3.74
Tm (0.9007, 0.9007, 0.3392)  3 Tm 3.23-3.57, 1 Pm 3.42, 4 Sm 3.50-3.54
Sm (0.2372, 0.5000, 0.7628)  6 Sm 3.40-3.58, 5 Tm 3.49-3.54
Tm (0.0993, 0.6608, 0.0993)  3 Tm 3.23-3.57, 1 Pm 3.42, 4 Sm 3.50-3.54
Sm (0.9088, 0.6412, 0.6414)  6 Sm 3.40-3.58, 3 Tm 3.61-3.74
Sm (0.7628, 0.5000, 0.2372)  6 Sm 3.40-3.58, 5 Tm 3.49-3.54
Tm (0.3392, 0.9007, 0.9007)  3 Tm 3.23-3.57, 1 Pm 3.42, 4 Sm 3.50-3.54
Sm (0.6414, 0.9088, 0.6412)  6 Sm 3.40-3.58, 3 Tm 3.61-3.74
Tm (0.6608, 0.0993, 0.0993)  3 Tm 3.23-3.57, 1 Pm 3.42, 4 Sm 3.50-3.54
Sm (0.5000, 0.2372, 0.7628)  6 Sm 3.40-3.58, 5 Tm 3.49-3.54
Tm (0.5000, 0.5000, 0.5000)  12 Sm 3.49-3.61
Tm (0.0993, 0.0993, 0.6608)  3 Tm 3.23-3.57, 1 Pm 3.42, 4 Sm 3.50-3.54
Sm (0.7628, 0.2372, 0.5000)  6 Sm 3.40-3.58, 5 Tm 3.49-3.54
Sm (0.0912, 0.3588, 0.3586)  6 Sm 3.40-3.58, 3 Tm 3.61-3.74

=====

VASP calculation (GGA-PBE) on a relaxed structure of HfTlFeTc2.

## Properties
Symmetry ... P4/mmm, No. 123
DFT formation energy ... 2109 meV per atom
E_tot ... -6.194 eV per atom
Magnetic moment ... 1.33 μB per cell

Lattice parameters (Å, degrees): 4.9132 4.5568 4.9132 90.00 90.00 90.00
Closest atoms and distances in Å follow each position.
Positions (direct):
Tc (0.5000, 0.0000, 0.0000)  2 Tl 2.46
Fe (0.0000, 0.5000, 0.0000)  2 Tl 2.28
Tl (0.0000, 0.0000, 0.0000)  2 Fe 2.28, 4 Tc 2.46
Tc (0.0000, 0.0000, 0.5000)  2 Tl 2.46
Hf (0.5000, 0.5000, 0.5000)  8 Tc 3.35, 4 Fe 3.47

=====

VASP calculation (GGA-PBE) on a relaxed structure of Sc5WC4.

## Properties
Symmetry ... Immm, No. 71
DFT formation energy ... -12 meV per atom
E_tot ... -8.163 eV per atom
Magnetic moment ... 0.00 μB per cell

Lattice parameters (Å, degrees): 3.2545 7.2252 7.2251 67.25 76.98 76.98
Closest atoms and distances in Å follow each position.
Positions (direct):
Sc (0.6073, 0.9487, 0.3367)  4 C 2.32-2.42
Sc (0.8927, 0.0513, 0.6633)  4 C 2.32-2.42
Sc (0.8927, 0.6633, 0.0513)  4 C 2.32-2.42
Sc (0.6073, 0.3367, 0.9487)  4 C 2.32-2.42
C (0.2500, 0.7178, 0.2822)  1 W 2.26, 6 Sc 2.38-2.42
Sc (0.7500, 0.5000, 0.5000)  4 C 2.38
W (0.2500, 0.0000, 0.0000)  4 C 2.21-2.26
C (0.4404, 0.8096, 0.8096)  1 W 2.21, 4 Sc 2.32
C (0.0596, 0.1904, 0.1904)  1 W 2.21, 4 Sc 2.32
C (0.2500, 0.2822, 0.7178)  1 W 2.26, 6 Sc 2.38-2.42

=====

VASP calculation (GGA-PBE) on a relaxed structure of CaSnRh3.

## Properties
Symmetry ... Pm-3m, No. 221
DFT formation energy ... 1117 meV per atom
Excess energy over the best structure of this formula in the dataset ... 139.9 kJ per mole of atoms
E_tot ... -4.495 eV per atom
Magnetic moment ... 0.94 μB per cell

Lattice parameters (Å, degrees): 4.7595 4.7595 4.7595 90.00 90.00 90.00
Closest atoms and distances in Å follow each position.
Positions (direct):
Rh (0.0000, 0.5000, 0.0000)  2 Ca 2.38
Rh (0.5000, 0.0000, 0.0000)  2 Ca 2.38
Sn (0.5000, 0.5000, 0.5000)  12 Rh 3.37
Ca (0.0000, 0.0000, 0.0000)  6 Rh 2.38
Rh (0.0000, 0.0000, 0.5000)  2 Ca 2.38

=====

VASP calculation (GGA-PBE) on a relaxed structure of Th6NiCl15.

## Properties
Symmetry ... Im-3m, No. 229
E_tot ... -5.424 eV per atom
Magnetic moment ... 1.01 μB per cell

Lattice parameters (Å, degrees): 9.8071 9.8071 9.8071 109.47 109.47 109.47
Closest atoms and distances in Å follow each position.
Positions (direct):
Cl (0.7537, 0.7537, 0.5075)  2 Th 2.79
Cl (0.2463, 0.0000, 0.7537)  2 Th 2.79
Cl (0.2463, 0.2463, 0.4925)  2 Th 2.79
Cl (0.0000, 0.7537, 0.2463)  2 Th 2.79
Cl (0.5075, 0.7537, 0.7537)  2 Th 2.79
Cl (0.0000, 0.5000, 0.5000)  2 Th 2.88
Th (0.7542, 0.0000, 0.7542)  1 Ni 2.78, 5 Cl 2.79-2.88
Th (0.2458, 0.0000, 0.2458)  1 Ni 2.78, 5 Cl 2.79-2.88
Cl (0.2463, 0.7537, 0.0000)  2 Th 2.79
Cl (0.7537, 0.0000, 0.2463)  2 Th 2.79
Th (0.0000, 0.2458, 0.2458)  1 Ni 2.78, 5 Cl 2.79-2.88
Th (0.7542, 0.7542, 0.0000)  1 Ni 2.78, 5 Cl 2.79-2.88
Cl (0.2463, 0.4925, 0.2463)  2 Th 2.79
Ni (0.0000, 0.0000, 0.0000)  6 Th 2.78
Cl (0.5000, 0.5000, 0.0000)  2 Th 2.88
Cl (0.5000, 0.0000, 0.5000)  2 Th 2.88
Cl (0.4925, 0.2463, 0.2463)  2 Th 2.79
Cl (0.7537, 0.5075, 0.7537)  2 Th 2.79
Cl (0.7537, 0.2463, 0.0000)  2 Th 2.79
Th (0.0000, 0.7542, 0.7542)  1 Ni 2.78, 5 Cl 2.79-2.88
Cl (0.0000, 0.2463, 0.7537)  2 Th 2.79
Th (0.2458, 0.2458, 0.0000)  1 Ni 2.78, 5 Cl 2.79-2.88

=====

VASP calculation (GGA-PBE) on a relaxed structure of ZrTe2Br.

## Properties
Symmetry ... P4/mmm, No. 123
Excess energy over the best structure of this formula in the dataset ... 75.0 kJ per mole of atoms
E_tot ... -4.088 eV per atom
Magnetic moment ... 0.00 μB per cell

Lattice parameters (Å, degrees): 5.4223 5.4223 3.4738 90.00 90.00 90.00
Closest atoms and distances in Å follow each position.
Positions (direct):
Zr (0.5000, 0.0000, 0.5000)  8 Te 3.22, 2 Zr 3.47
Br (0.0000, 0.5000, 0.5000)  8 Te 3.22, 2 Br 3.47
Te (0.0000, 0.0000, 0.0000)  4 Br 3.22, 4 Zr 3.22, 2 Te 3.47
Te (0.5000, 0.5000, 0.0000)  4 Zr 3.22, 4 Br 3.22, 2 Te 3.47

=====

VASP calculation (GGA-PBE) on a relaxed structure of Dy5Ho2Te4.

## Properties
Symmetry ... C2/m, No. 12
E_tot ... -4.700 eV per atom
Magnetic moment ... 0.31 μB per cell

Lattice parameters (Å, degrees): 4.0350 7.3076 14.4698 118.32 98.01 90.00
Closest atoms and distances in Å follow each position.
Positions (direct):
Te (0.5972, 0.4704, 0.1943)  5 Dy 3.04-3.22
Ho (0.2663, 0.3447, 0.5326)  6 Dy 3.47-3.51, 1 Te 3.47, 2 Ho 3.48
Te (0.9507, 0.1717, 0.9014)  4 Dy 2.98-3.24
Dy (0.1371, 0.2674, 0.2743)  3 Te 2.98-3.04
Dy (0.5000, 0.0000, 0.0000)  6 Te 3.06-3.22
Dy (0.8629, 0.7326, 0.7257)  3 Te 2.98-3.04
Ho (0.7337, 0.6553, 0.4674)  6 Dy 3.47-3.51, 1 Te 3.47, 2 Ho 3.48
Dy (0.1624, 0.8286, 0.3249)  3 Te 3.12-3.24
Te (0.0493, 0.8283, 0.0986)  4 Dy 2.98-3.24
Te (0.4028, 0.5296, 0.8057)  5 Dy 3.04-3.22
Dy (0.8376, 0.1714, 0.6751)  3 Te 3.12-3.24

=====

VASP calculation (GGA-PBE) on a relaxed structure of ZrGaGe.

## Properties
Symmetry ... I4mm, No. 107
DFT formation energy ... -212 meV per atom
E_tot ... -5.610 eV per atom
Magnetic moment ... 0.00 μB per cell

Lattice parameters (Å, degrees): 3.7996 3.7996 4.8711 112.96 112.96 90.00
Closest atoms and distances in Å follow each position.
Positions (direct):
Ge (0.2669, 0.2669, 0.5337)  1 Ga 2.47
Ga (0.9629, 0.9629, 0.9257)  1 Ge 2.47
Zr (0.6203, 0.6203, 0.2405)  5 Ga 2.78-2.98, 5 Ge 2.87-2.94

=====

VASP calculation (GGA-PBE) on a relaxed structure of RbMgAsBr2.

## Properties
Symmetry ... P4/mmm, No. 123
Excess energy over the best structure of this formula in the dataset ... 99.4 kJ per mole of atoms
E_tot ... -1.903 eV per atom
Magnetic moment ... 2.02 μB per cell

Lattice parameters (Å, degrees): 6.3430 6.3430 6.3941 90.00 90.00 90.00
Closest atoms and distances in Å follow each position.
Positions (direct):
Br (0.5000, 0.0000, 0.0000)  2 Rb 3.17
As (0.0000, 0.0000, 0.5000)  2 Rb 3.20
Br (0.0000, 0.5000, 0.0000)  2 Rb 3.17
Rb (0.0000, 0.0000, 0.0000)  4 Br 3.17, 2 As 3.20
Mg (0.5000, 0.5000, 0.5000)  4 As 4.49, 8 Br 4.50

=====

VASP calculation (GGA-PBE) on a relaxed structure of CrGe2Mo.

## Properties
Symmetry ... Fm-3m, No. 225
DFT formation energy ... 218 meV per atom
Excess energy over the best structure of this formula in the dataset ... 0.0 kJ per mole of atoms
E_tot ... -7.204 eV per atom
Magnetic moment ... 0.00 μB per cell

Lattice parameters (Å, degrees): 4.3330 4.3330 4.3330 60.00 60.00 60.00
Closest atoms and distances in Å follow each position.
Positions (direct):
Ge (0.2500, 0.2500, 0.2500)  4 Cr 2.65, 4 Mo 2.65
Cr (0.0000, 0.0000, 0.0000)  8 Ge 2.65
Mo (0.5000, 0.5000, 0.5000)  8 Ge 2.65
Ge (0.7500, 0.7500, 0.7500)  4 Cr 2.65, 4 Mo 2.65

=====

VASP calculation (GGA-PBE) on a relaxed structure of La5PmSm2.

## Properties
Symmetry ... I4/mcm, No. 140
DFT formation energy ... 111 meV per atom
Excess energy over the best structure of this formula in the dataset ... 0.0 kJ per mole of atoms
E_tot ... -4.743 eV per atom
Magnetic moment ... 0.00 μB per cell

Lattice parameters (Å, degrees): 9.0303 9.0303 9.5142 118.33 118.33 90.00
Closest atoms and distances in Å follow each position.
Positions (direct):
La (0.8147, 0.0153, 0.3300)  3 Sm 3.50-3.54, 4 La 3.51-3.82, 2 Pm 3.64
La (0.9847, 0.4847, 0.6700)  3 Sm 3.50-3.54, 4 La 3.51-3.82, 2 Pm 3.64
La (0.0000, 0.0000, 0.0000)  4 Sm 3.46, 2 Pm 3.53
Sm (0.6461, 0.1461, 0.0000)  8 La 3.46-3.54, 1 Sm 3.73
Sm (0.1461, 0.3539, 0.0000)  8 La 3.46-3.54, 1 Sm 3.73
La (0.4847, 0.6853, 0.6700)  3 Sm 3.50-3.54, 4 La 3.51-3.82, 2 Pm 3.64
Sm (0.8539, 0.6461, 0.0000)  8 La 3.46-3.54, 1 Sm 3.73
La (0.5000, 0.5000, 0.0000)  4 Sm 3.46, 2 Pm 3.53
Sm (0.3539, 0.8539, 0.0000)  8 La 3.46-3.54, 1 Sm 3.73
Pm (0.2500, 0.2500, 0.5000)  10 La 3.53-3.64
La (0.1853, 0.9847, 0.6700)  3 Sm 3.50-3.54, 4 La 3.51-3.82, 2 Pm 3.64
La (0.3147, 0.8147, 0.3300)  3 Sm 3.50-3.54, 4 La 3.51-3.82, 2 Pm 3.64
Pm (0.7500, 0.7500, 0.5000)  10 La 3.53-3.64
La (0.5153, 0.3147, 0.3300)  3 Sm 3.50-3.54, 4 La 3.51-3.82, 2 Pm 3.64
La (0.6853, 0.1853, 0.6700)  3 Sm 3.50-3.54, 4 La 3.51-3.82, 2 Pm 3.64
La (0.0153, 0.5153, 0.3300)  3 Sm 3.50-3.54, 4 La 3.51-3.82, 2 Pm 3.64

=====

VASP calculation (GGA-PBE) on a relaxed structure of Sb2AuSe.

## Properties
Symmetry ... Immm, No. 71
E_tot ... -3.584 eV per atom
Magnetic moment ... 0.00 μB per cell

Lattice parameters (Å, degrees): 5.6073 5.6073 5.6073 140.56 114.62 79.11
Closest atoms and distances in Å follow each position.
Positions (direct):
Au (0.2500, 0.7500, 0.5000)  4 Sb 2.84
Se (0.7500, 0.2500, 0.5000)  4 Sb 2.91
Sb (0.0053, 0.0053, 0.0000)  2 Au 2.84, 2 Se 2.91
Sb (0.4947, 0.4947, 0.0000)  2 Au 2.84, 2 Se 2.91